Ta2CrPt (GGA-PBE, relaxed); E = -39.4 eV per cell; formation energy = 1 kJ/mol of formula units; total magnetization = 0.0 μB per cell
1.0
-3.071 3.569 -0.920
-4.590 1.383 -0.195
-0.180 1.725 4.827
Ta Pt Cr
2 1 1
direct
0.491 0.491 0.494 Ta
0.009 0.009 0.006 Ta
0.750 0.750 0.750 Pt
0.250 0.250 0.250 Cr